[1]
Crystalline LaCo2Os at its relaxed geometry. Source: the Alexandria database, functional PBE.

a b c (Å): 3.0509 3.0509 7.1056
angles (deg): 90.00 90.00 89.99
Last column: nearest neighbours and their distance in Å.
Atoms (fractional coordinates):
Co1 0.0000 0.0000 0.5679  4 Os 2.52, 1 Co 2.59
Os1 0.5000 0.5000 0.7500  8 Co 2.52
La1 0.5000 0.5000 0.2500  4 La 3.05, 8 Co 3.12
Co2 0.0000 0.0000 0.9321  4 Os 2.52, 1 Co 2.59

Summary:
Symmetry: P4/mmm (123)
Magnetic moment in μB per formula unit: 2.708
Total energy in eV per atom: -7.30
D(E_F) in states/eV per atom: 0.74
Formation enthalpy at 0 K in eV/atom: 0.291

---

[2]
Crystalline TcTeN2O at its relaxed geometry. Source: the Alexandria database, functional PBE.

a b c (Å): 4.0628 4.0628 3.9588
angles (deg): 90.00 90.00 90.00
Last column: nearest neighbours and their distance in Å.
Atoms (fractional coordinates):
O1 0.0000 0.0000 0.5000  2 Te 1.98
N1 0.0000 0.5000 0.0000  2 Te 2.03
N2 0.5000 0.0000 0.0000  2 Te 2.03
Te1 0.0000 0.0000 0.0000  2 O 1.98, 4 N 2.03
Tc1 0.5000 0.5000 0.5000  8 N 2.84, 4 O 2.87

Summary:
Formation energy without anion corrections in eV/atom: 1.304
Symmetry: P4/mmm (123)
Magnetic moment in μB per formula unit: 4.502
Total energy in eV per atom: -5.72
D(E_F) in states/eV per atom: 0.45